Record 1
A relaxed DyErZr2N4 crystal, computed with GGA-PBE.

Geometry as CIF:
```
data_DyErZr2N4
_space_group_name_H-M_alt 'P 1 2/m 1'
_space_group_IT_number 10
_space_group_name_Hall '-P 2y'
_cell_length_a 5.770
_cell_length_b 3.335
_cell_length_c 5.826
_cell_angle_alpha 90.00
_cell_angle_beta 109.32
_cell_angle_gamma 90.00
loop_
_atom_site_label
_atom_site_type_symbol
_atom_site_fract_x
_atom_site_fract_y
_atom_site_fract_z
_atom_site_occupancy
Dy1 Dy 0.000 0.000 0.000 1
Er1 Er 0.500 0.500 0.000 1
Zr1 Zr 0.000 0.500 0.500 1
Zr2 Zr 0.500 0.000 0.500 1
N1 N 0.247 0.000 0.736 1
N2 N 0.256 0.500 0.265 1
```

Properties
**E**: -9.191 eV/atom
**Fermi-level density of states**: 3.2 states/eV/cell
**Formation energy (no corrections)**: -1.75 eV per atom
**Total magnetization**: 0.00 Bohr magnetons per cell

=====

Record 2
A relaxed DyEr3Zr2N6 crystal, computed with GGA-PBE.

Geometry as CIF:
```
data_DyEr3Zr2N6
_space_group_name_H-M_alt 'C 1 2/m 1'
_space_group_IT_number 12
_space_group_name_Hall '-C 2y'
_cell_length_a 14.680
_cell_length_b 3.365
_cell_length_c 6.752
_cell_angle_alpha 90.00
_cell_angle_beta 103.38
_cell_angle_gamma 90.00
loop_
_atom_site_label
_atom_site_type_symbol
_atom_site_fract_x
_atom_site_fract_y
_atom_site_fract_z
_atom_site_occupancy
Dy1 Dy 0.000 0.000 0.000 1
Er1 Er 0.000 0.000 0.500 1
Er2 Er 0.167 0.500 0.833 1
Zr1 Zr 0.167 0.500 0.335 1
N1 N 0.006 0.500 0.256 1
N2 N 0.169 0.000 0.095 1
N3 N 0.170 0.000 0.577 1
```

Properties
**E**: -8.875 eV/atom
**Fermi-level density of states**: 5.6 states/eV/cell
**Formation energy (no corrections)**: -1.76 eV per atom
**Total magnetization**: 0.00 Bohr magnetons per cell

=====

Record 3
A relaxed NaDyEr2 crystal, computed with GGA-PBE.

Geometry as CIF:
```
data_NaDyEr2
_space_group_name_H-M_alt 'P 4/m m m'
_space_group_IT_number 123
_space_group_name_Hall '-P 4 2'
_cell_length_a 3.522
_cell_length_b 3.522
_cell_length_c 10.414
_cell_angle_alpha 90.00
_cell_angle_beta 90.00
_cell_angle_gamma 90.00
loop_
_atom_site_label
_atom_site_type_symbol
_atom_site_fract_x
_atom_site_fract_y
_atom_site_fract_z
_atom_site_occupancy
Na1 Na 0.000 0.000 0.000 1
Dy1 Dy 0.000 0.000 0.500 1
Er1 Er 0.500 0.500 0.271 1
```

Properties
**Formation enthalpy at 0 K**: 0.14 eV/atom
**E**: -3.620 eV/atom
**Fermi-level density of states**: 4.1 states/eV/cell
**Total magnetization**: 0.00 Bohr magnetons per cell

=====

> E of number 2 (DyEr3Zr2N6)?

-8.875 eV/atom